i:
First-principles (GGA-PBE) data for crystalline NbReOs2 at its relaxed geometry, as listed in Alexandria.

Cell: 2.7840 2.7840 27.5682 Å, 90.00 90.00 120.00°
Space group R-3m (No. 166, hexagonal axes)
Unique sites:
Nb (0.0000, 0.0000, 0.0000)
Re (0.0000, 0.0000, 0.5000)
Os (0.0000, 0.0000, 0.2462)

Summary:
Total magnetic moment   0.0 μB per formula unit
V   15.42 A^3/atom

---

ii:
First-principles (GGA-PBE) data for crystalline NbReOs2 at its relaxed geometry, as listed in Alexandria.

Cell: 6.2944 6.2944 6.2944 Å, 90.00 90.00 90.00°
Space group Fm-3m (No. 225)
Unique sites:
Nb (0.0000, 0.0000, 0.0000)
Re (0.0000, 0.0000, 0.5000)
Os (0.2500, 0.2500, 0.2500)

Summary:
Total magnetic moment   0.0 μB per formula unit
V   15.59 A^3/atom

---

Stability, lowest: ii

---

i:
First-principles (GGA-PBE) data for crystalline NbReOs2 at its relaxed geometry, as listed in Alexandria.

Cell: 3.9546 3.9546 3.9323 Å, 90.00 90.00 90.00°
Space group P4/mmm (No. 123)
Unique sites:
Nb (0.0000, 0.0000, 0.0000)
Re (0.5000, 0.5000, 0.0000)
Os (0.0000, 0.5000, 0.5000)

Summary:
Total magnetic moment   0.0 μB per formula unit
V   15.37 A^3/atom

---

ii:
First-principles (GGA-PBE) data for crystalline NbReOs2 at its relaxed geometry, as listed in Alexandria.

Cell: 5.6086 5.6086 11.8442 Å, 90.00 90.00 90.00°
Space group I-42d (No. 122)
Unique sites:
Nb (0.0000, 0.0000, 0.0000)
Re (0.0000, 0.0000, 0.5000)
Os (0.2311, 0.2500, 0.6250)

Summary:
Total magnetic moment   0.0 μB per formula unit
V   23.29 A^3/atom

---

Stability, lowest: ii

---

i:
First-principles (GGA-PBE) data for crystalline NbRe3Os at its relaxed geometry, as listed in Alexandria.

Cell: 4.6313 4.6313 4.6313 Å, 90.00 90.00 90.00°
Space group Pm-3m (No. 221)
Unique sites:
Nb (0.0000, 0.0000, 0.0000)
Re (0.0000, 0.0000, 0.5000)
Os (0.5000, 0.5000, 0.5000)

Summary:
Total magnetic moment   0.0 μB per formula unit
V   19.87 A^3/atom

---

ii:
First-principles (GGA-PBE) data for crystalline NbRe3Os at its relaxed geometry, as listed in Alexandria.

Cell: 4.6687 4.6687 4.6687 Å, 90.00 90.00 90.00°
Space group Pm-3m (No. 221)
Unique sites:
Nb (0.0000, 0.0000, 0.0000)
Re (0.0000, 0.5000, 0.5000)
Os (0.5000, 0.5000, 0.5000)

Summary:
Total magnetic moment   0.0 μB per formula unit
V   20.35 A^3/atom

---

Stability, lowest: i

---

i:
First-principles (GGA-PBE) data for crystalline Nb3ReOs at its relaxed geometry, as listed in Alexandria.

Cell: 13.2436 8.1731 6.3984 Å, 90.00 91.86 90.00°
Space group C2/c (No. 15)
Unique sites:
Nb (0.0598, 0.2445, 0.4159)
Nb (0.1543, 0.4573, 0.0670)
Nb (0.1581, 0.0962, 0.0674)
Re (0.2139, 0.2192, 0.6832)
Os (0.0000, 0.0718, 0.7500)
Os (0.0000, 0.4152, 0.7500)

Summary:
Total magnetic moment   0.0 μB per formula unit
V   17.31 A^3/atom

---

ii:
First-principles (GGA-PBE) data for crystalline Nb3ReOs at its relaxed geometry, as listed in Alexandria.

Cell: 4.7682 4.7682 4.7682 Å, 90.00 90.00 90.00°
Space group Pm-3m (No. 221)
Unique sites:
Nb (0.0000, 0.0000, 0.5000)
Re (0.5000, 0.5000, 0.5000)
Os (0.0000, 0.0000, 0.0000)

Summary:
Total magnetic moment   0.0 μB per formula unit
V   21.68 A^3/atom

---

Stability, lowest: ii

---

i:
First-principles (GGA-PBE) data for crystalline Nb6ReOs at its relaxed geometry, as listed in Alexandria.

Cell: 5.1828 5.1828 5.1828 Å, 90.00 90.00 90.00°
Space group Pm-3 (No. 200)
Unique sites:
Nb (0.0000, 0.2501, 0.5000)
Re (0.0000, 0.0000, 0.0000)
Os (0.5000, 0.5000, 0.5000)

Summary:
Total magnetic moment   0.0 μB per formula unit
V   17.40 A^3/atom

---

ii:
First-principles (GGA-PBE) data for crystalline Nb6ReOs at its relaxed geometry, as listed in Alexandria.

Cell: 4.5763 4.5763 13.1460 Å, 90.00 90.00 90.00°
Space group I4/mmm (No. 139)
Unique sites:
Nb (0.0000, 0.0000, 0.2495)
Nb (0.0000, 0.5000, 0.1215)
Re (0.0000, 0.0000, 0.0000)
Os (0.0000, 0.0000, 0.5000)

Summary:
Total magnetic moment   0.0 μB per formula unit
V   17.21 A^3/atom

---

Stability, lowest: ii

---

i:
First-principles (GGA-PBE) data for crystalline TaNbReOs at its relaxed geometry, as listed in Alexandria.

Cell: 6.3918 6.3918 6.3918 Å, 90.00 90.00 90.00°
Space group F-43m (No. 216)
Unique sites:
Ta (0.0000, 0.0000, 0.0000)
Nb (0.0000, 0.0000, 0.5000)
Re (0.2500, 0.2500, 0.2500)
Os (0.2500, 0.2500, 0.7500)

Summary:
Total magnetic moment   0.0 μB per formula unit
V   16.32 A^3/atom

---

ii:
First-principles (GGA-PBE) data for crystalline TaNbReOs at its relaxed geometry, as listed in Alexandria.

Cell: 3.1870 4.5129 4.5391 Å, 90.00 90.00 90.00°
Space group Pmmm (No. 47)
Unique sites:
Ta (0.0000, 0.0000, 0.0000)
Nb (0.0000, 0.5000, 0.5000)
Re (0.5000, 0.0000, 0.5000)
Os (0.5000, 0.5000, 0.0000)

Summary:
Total magnetic moment   0.0 μB per formula unit
V   16.32 A^3/atom

---

Stability, lowest: ii